Record 1
# LiGa2Pt

LiGa2Pt after structural relaxation (PBE-GGA, Alexandria via LeMat-Bulk).

abc: 3.1528 8.1277 4.8370
angles: 90.00 90.00 90.00
Sites, in units of the cell vectors:
Li: 0.0000 0.0000 0.0000
Li: 0.5000 0.5000 0.5000
Ga: 0.0000 0.2374 0.6259
Ga: 0.0000 0.7626 0.6259
Ga: 0.5000 0.2626 0.1259
Ga: 0.5000 0.7374 0.1259
Pt: 0.0000 0.5000 0.9620
Pt: 0.5000 0.0000 0.4620

## Properties
mass density	9.1	Mg/m³
energy	-3.975	eV per atom
crystal system	orthorhombic
DOS(E_F)	1.00	states/eV/f.u.
polymorph energy (0 for the lowest one)	150	meV per atom
total moment	0.00	μB/f.u.
energy of formation from the pure elements	-0.473	eV/atom


Record 2
# LiGa2Pt

LiGa2Pt after structural relaxation (PBE-GGA, Alexandria via LeMat-Bulk).

abc: 4.2266 4.2266 13.3524
angles: 90.00 90.00 120.00
Sites, in units of the cell vectors:
Li: 0.0000 0.0000 0.0000
Li: 0.3333 0.6667 0.6667
Li: 0.6667 0.3333 0.3333
Ga: 0.0000 0.0000 0.5785
Ga: 0.0000 0.0000 0.7864
Ga: 0.3333 0.6667 0.2451
Ga: 0.3333 0.6667 0.4531
Ga: 0.6667 0.3333 0.1198
Ga: 0.6667 0.3333 0.9118
Pt: 0.0000 0.0000 0.1957
Pt: 0.3333 0.6667 0.8623
Pt: 0.6667 0.3333 0.5290

## Properties
mass density	8.2	Mg/m³
energy	-4.068	eV per atom
crystal system	trigonal
DOS(E_F)	0.85	states/eV/f.u.
polymorph energy (0 for the lowest one)	58	meV per atom
total moment	0.00	μB/f.u.
energy of formation from the pure elements	-0.566	eV/atom


Record 3
# Li7Ga12Pt

Li7Ga12Pt after structural relaxation (PBE-GGA, Alexandria via LeMat-Bulk).

abc: 8.5860 8.5860 8.5860
angles: 109.47 109.47 109.47
Sites, in units of the cell vectors:
Li: 0.0000 0.0000 0.5000
Li: 0.0000 0.5000 0.0000
Li: 0.0000 0.5000 0.5000
Li: 0.5000 0.0000 0.0000
Li: 0.5000 0.0000 0.5000
Li: 0.5000 0.5000 0.0000
Li: 0.5000 0.5000 0.5000
Ga: 0.0925 0.8606 0.2319
Ga: 0.1394 0.2319 0.3713
Ga: 0.1394 0.7681 0.9075
Ga: 0.2319 0.0925 0.8606
Ga: 0.2319 0.3713 0.1394
Ga: 0.3713 0.1394 0.2319
Ga: 0.6287 0.8606 0.7681
Ga: 0.7681 0.6287 0.8606
Ga: 0.7681 0.9075 0.1394
Ga: 0.8606 0.2319 0.0925
Ga: 0.8606 0.7681 0.6287
Ga: 0.9075 0.1394 0.7681
Pt: 0.0000 0.0000 0.0000

## Properties
mass density	3.7	Mg/m³
energy	-2.839	eV per atom
crystal system	cubic
DOS(E_F)	8.43	states/eV/f.u.
total moment	0.00	μB/f.u.
energy of formation from the pure elements	-0.051	eV/atom


Record 4
# LiGa3Pt4

LiGa3Pt4 after structural relaxation (PBE-GGA, Alexandria via LeMat-Bulk).

abc: 14.9050 4.0425 4.0425
angles: 90.00 105.39 90.00
Sites, in units of the cell vectors:
Li: 0.0000 0.0000 0.0000
Li: 0.5000 0.5000 0.0000
Ga: 0.0000 0.5000 0.5000
Ga: 0.2471 0.0000 0.2469
Ga: 0.2529 0.5000 0.7531
Ga: 0.5000 0.0000 0.5000
Ga: 0.7471 0.5000 0.2469
Ga: 0.7529 0.0000 0.7531
Pt: 0.1266 0.0000 0.6265
Pt: 0.1266 0.5000 0.1262
Pt: 0.3734 0.0000 0.8738
Pt: 0.3734 0.5000 0.3735
Pt: 0.6266 0.0000 0.1262
Pt: 0.6266 0.5000 0.6265
Pt: 0.8734 0.0000 0.3735
Pt: 0.8734 0.5000 0.8738

## Properties
mass density	14.1	Mg/m³
energy	-5.052	eV per atom
crystal system	monoclinic
DOS(E_F)	1.02	states/eV/f.u.
total moment	0.00	μB/f.u.
energy of formation from the pure elements	-0.657	eV/atom


Copy entry 4 word for word.
# LiGa3Pt4

LiGa3Pt4 after structural relaxation (PBE-GGA, Alexandria via LeMat-Bulk).

abc: 14.9050 4.0425 4.0425
angles: 90.00 105.39 90.00
Sites, in units of the cell vectors:
Li: 0.0000 0.0000 0.0000
Li: 0.5000 0.5000 0.0000
Ga: 0.0000 0.5000 0.5000
Ga: 0.2471 0.0000 0.2469
Ga: 0.2529 0.5000 0.7531
Ga: 0.5000 0.0000 0.5000
Ga: 0.7471 0.5000 0.2469
Ga: 0.7529 0.0000 0.7531
Pt: 0.1266 0.0000 0.6265
Pt: 0.1266 0.5000 0.1262
Pt: 0.3734 0.0000 0.8738
Pt: 0.3734 0.5000 0.3735
Pt: 0.6266 0.0000 0.1262
Pt: 0.6266 0.5000 0.6265
Pt: 0.8734 0.0000 0.3735
Pt: 0.8734 0.5000 0.8738

## Properties
mass density	14.1	Mg/m³
energy	-5.052	eV per atom
crystal system	monoclinic
DOS(E_F)	1.02	states/eV/f.u.
total moment	0.00	μB/f.u.
energy of formation from the pure elements	-0.657	eV/atom